(1)
Density functional theory data (GGA-PBE) for an optimized crystal structure of Zn2GaCuAg.

a b c (Å): 4.601 4.601 4.946
angles (deg): 90.00 90.00 90.00
Space group P4/mmm (No. 123)
Symmetry-distinct sites (fractional):
Zn 0.000 0.500 0.000 [2 per cell]
Ga 0.000 0.000 0.500 [1 per cell]
Cu 0.500 0.500 0.000 [1 per cell]
Ag 0.500 0.500 0.500 [1 per cell]

Theoretical density: 5.90 g/cm³
Final energy: -10.71 eV/cell
Total moment: 0.0 μB per formula unit


(2)
Density functional theory data (GGA-PBE) for an optimized crystal structure of Sc2Ir.

a b c (Å): 3.497 11.339 6.280
angles (deg): 90.00 90.00 90.00
Space group Cmc2_1 (No. 36)
Symmetry-distinct sites (fractional):
Sc 0.000 0.022 0.000 [4 per cell]
Sc 0.000 0.288 0.183 [4 per cell]
Ir 0.000 0.381 0.784 [4 per cell]

Theoretical density: 7.53 g/cm³
Final energy: -94.37 eV/cell
Total moment: 0.0 μB per formula unit


(3)
Density functional theory data (GGA-PBE) for an optimized crystal structure of K6NaAg.

a b c (Å): 4.947 13.152 14.544
angles (deg): 90.00 90.00 90.00
Space group Amm2 (No. 38)
Symmetry-distinct sites (fractional):
K 0.000 0.000 0.000 [2 per cell]
K 0.000 0.165 0.724 [4 per cell]
K 0.500 0.000 0.253 [2 per cell]
K 0.500 0.228 0.481 [4 per cell]
Na 0.000 0.000 0.487 [2 per cell]
Ag 0.500 0.000 0.615 [2 per cell]

Theoretical density: 1.28 g/cm³
Final energy: -20.96 eV/cell
Total moment: 0.0 μB per formula unit


(4)
Density functional theory data (GGA-PBE) for an optimized crystal structure of Ti2CCl2.

a b c (Å): 3.2317 3.2317 9.4536
angles (deg): 90.00 90.00 120.00
Space group P-3m1 (No. 164)
Symmetry-distinct sites (fractional):
Ti 0.3333 0.6667 0.3848 [2 per cell]
C 0.0000 0.0000 0.5000 [1 per cell]
Cl 0.3333 0.6667 0.7934 [2 per cell]

Theoretical density: 3.47 g/cm³
Final energy: -35.54 eV/cell
Energy relative to the elements, uncorrected: -6.84 eV per formula unit
Total moment: 0.0 μB per formula unit


Question: final energy of number 3 (K6NaAg)?
Answer: -20.96 eV/cell